No. 1
Here is an optimized crystal structure of Mg2CoSe4 from Alexandria via LeMat-Bulk. Energies are from PBE.

Total magnetic moment in μB per atom: 0.00
DOS(E_F) in states/eV/atom: 0.7153
Formation energy (no corrections) in eV per atom: -0.61
E in eV/atom: -4.08

Unit cell a=3.856 b=6.380 c=6.700 alpha=115.83 beta=90.06 gamma=107.57
Space group P-1 (No. 2)
One atom of each set of equivalent atoms:
Mg: 0.211 0.419 0.183 [2 per cell]
Co: 0.500 0.000 0.500 [1 per cell]
Se: 0.130 0.263 0.499 [2 per cell]
Se: 0.407 0.815 0.099 [2 per cell]

No. 2
Here is an optimized crystal structure of CeY2Ga4 from Alexandria via LeMat-Bulk. Energies are from PBE.

Total magnetic moment in μB per atom: 0.10
DOS(E_F) in states/eV/atom: 1.1644
Calculated formation energy in eV per formula unit: -4.5
E in eV/atom: -5.06

Unit cell a=4.144 b=4.320 c=18.299 alpha=90.00 beta=90.00 gamma=90.00
Space group Immm (No. 71)
One atom of each set of equivalent atoms:
Ce: 0.000 0.000 0.000 [2 per cell]
Y: 0.000 0.500 0.315 [4 per cell]
Ga: 0.000 0.000 0.433 [4 per cell]
Ga: 0.000 0.500 0.148 [4 per cell]

No. 3
Here is an optimized crystal structure of GaSi2Os2 from Alexandria via LeMat-Bulk. Energies are from PBE.

Total magnetic moment in μB per atom: 0.00
DOS(E_F) in states/eV/atom: 0.6268
Formation energy (no corrections) in eV per atom: 0.03
E in eV/atom: -7.24

Unit cell a=7.180 b=7.180 c=2.807 alpha=90.00 beta=90.00 gamma=90.00
Space group P4/mbm (No. 127)
One atom of each set of equivalent atoms:
Ga: 0.000 0.000 0.000 [2 per cell]
Si: 0.138 0.362 0.000 [4 per cell]
Os: 0.154 0.654 0.500 [4 per cell]

No. 4
Here is an optimized crystal structure of VMoRh4 from Alexandria via LeMat-Bulk. Energies are from PBE.

Total magnetic moment in μB per atom: 0.00
DOS(E_F) in states/eV/atom: 0.6830
Calculated formation energy in eV per formula unit: 0.3
E in eV/atom: -8.17

Unit cell a=5.811 b=5.846 c=5.811 alpha=90.00 beta=90.00 gamma=90.00
Space group Pmma (No. 51)
One atom of each set of equivalent atoms:
V: 0.250 0.000 0.249 [2 per cell]
Mo: 0.250 0.500 0.749 [2 per cell]
Rh: 0.000 0.242 0.500 [4 per cell]
Rh: 0.000 0.243 0.000 [4 per cell]

No. 5
Here is an optimized crystal structure of In2CuTe from Alexandria via LeMat-Bulk. Energies are from PBE.

Total magnetic moment in μB per atom: 0.00
DOS(E_F) in states/eV/atom: 0.4484
Formation energy (no corrections) in eV per atom: 0.12
E in eV/atom: -3.06

Unit cell a=4.379 b=5.489 c=8.271 alpha=90.00 beta=90.00 gamma=90.00
Space group Cmm2 (No. 35)
One atom of each set of equivalent atoms:
In: 0.000 0.000 0.000 [2 per cell]
In: 0.000 0.500 0.293 [2 per cell]
Cu: 0.000 0.500 0.796 [2 per cell]
Te: 0.000 0.000 0.607 [2 per cell]

No. 6
Here is an optimized crystal structure of HfHRh3 from Alexandria via LeMat-Bulk. Energies are from PBE.

Total magnetic moment in μB per atom: 0.00
DOS(E_F) in states/eV/atom: 0.9882
E in eV/atom: -6.85

Unit cell a=3.779 b=3.779 c=6.159 alpha=90.00 beta=90.00 gamma=90.00
Space group P4mm (No. 99)
One atom of each set of equivalent atoms:
Hf: 0.000 0.000 0.000 [1 per cell]
H: 0.500 0.500 0.343 [1 per cell]
Rh: 0.000 0.000 0.616 [1 per cell]
Rh: 0.000 0.500 0.299 [2 per cell]

No. 7
Here is an optimized crystal structure of AlOs2Pt from Alexandria via LeMat-Bulk. Energies are from PBE.

Total magnetic moment in μB per atom: 0.00
DOS(E_F) in states/eV/atom: 0.4993
Calculated formation energy in eV per formula unit: -1.0
E in eV/atom: -8.30

Unit cell a=2.789 b=3.793 c=5.556 alpha=90.00 beta=90.00 gamma=90.00
Space group Pmm2 (No. 25)
One atom of each set of equivalent atoms:
Al: 0.000 0.000 0.000 [1 per cell]
Os: 0.000 0.000 0.481 [1 per cell]
Os: 0.500 0.500 0.282 [1 per cell]
Pt: 0.500 0.500 0.783 [1 per cell]

No. 8
Here is an optimized crystal structure of AcTbSnHg from Alexandria via LeMat-Bulk. Energies are from PBE.

Total magnetic moment in μB per atom: 0.00
DOS(E_F) in states/eV/atom: 0.9522
Calculated formation energy in eV per formula unit: -2.1
E in eV/atom: -3.79

Unit cell a=7.847 b=7.847 c=7.847 alpha=90.00 beta=90.00 gamma=90.00
Space group F-43m (No. 216)
One atom of each set of equivalent atoms:
Ac: 0.000 0.000 0.000 [4 per cell]
Tb: 0.000 0.000 0.500 [4 per cell]
Sn: 0.250 0.250 0.750 [4 per cell]
Hg: 0.250 0.250 0.250 [4 per cell]